Entry 1:
Compound: TbCe2Cu
Source: Alexandria via LeMat-Bulk
Functional: GGA-PBE
Structure: relaxed

Energy above the most stable polymorph in this dataset in meV/atom: 95
DFT total energy in eV/atom: -5.00
ΔE_f in eV per atom: 0.151
Calculated volume in Å³/f.u.: 107.1
Magnetization in μB per cell: 3.97

Cell and atoms, written as CIF:
```
data_TbCe2Cu
_space_group_name_H-M_alt 'R -3 m'
_space_group_IT_number 166
_space_group_name_Hall '-R 3 2"'
_cell_length_a 3.5043
_cell_length_b 3.5043
_cell_length_c 30.2197
_cell_angle_alpha 90.00
_cell_angle_beta 90.00
_cell_angle_gamma 120.00
loop_
_atom_site_label
_atom_site_type_symbol
_atom_site_fract_x
_atom_site_fract_y
_atom_site_fract_z
Tb1 Tb 0.0000 0.0000 0.0000
Ce1 Ce 0.0000 0.0000 0.2372
Cu1 Cu 0.0000 0.0000 0.5000
```

Entry 2:
Compound: YCl2
Source: Alexandria via LeMat-Bulk
Functional: GGA-PBE
Structure: relaxed

E_form (uncorrected) in eV per atom: -1.839
DFT total energy in eV/atom: -5.22
Calculated volume in Å³/f.u.: 77.3
Magnetization in μB per cell: 0.00

Cell and atoms, written as CIF:
```
data_YCl2
_space_group_name_H-M_alt 'C 1 2/m 1'
_space_group_IT_number 12
_space_group_name_Hall '-C 2y'
_cell_length_a 11.902
_cell_length_b 4.396
_cell_length_c 7.216
_cell_angle_alpha 90.00
_cell_angle_beta 125.00
_cell_angle_gamma 90.00
loop_
_atom_site_label
_atom_site_type_symbol
_atom_site_fract_x
_atom_site_fract_y
_atom_site_fract_z
Y1 Y 0.185 0.000 0.182
Cl1 Cl 0.107 0.500 0.894
Cl2 Cl 0.161 0.000 0.541
```